[1]
Sm5Zn4Ru: relaxed, PBE-GGA.

M_tot (Bohr magnetons per cell): 0.042
Crystal system: tetragonal
Energy of formation from the pure elements (eV/atom): -0.304

a = 3.579 Å, b = 3.579 Å, c = 18.383 Å
α = 90.00°, β = 90.00°, γ = 90.00°
Sites, in units of the cell vectors:
Zn1 0.000 0.000 0.801
Zn2 0.000 0.000 0.199
Zn3 0.000 0.000 0.399
Zn4 0.000 0.000 0.601
Sm1 0.500 0.500 0.500
Sm2 0.500 0.500 0.702
Sm3 0.500 0.500 0.298
Sm4 0.500 0.500 0.091
Sm5 0.500 0.500 0.909
Ru1 0.000 0.000 0.000



[2]
FeRuCl4: relaxed, PBE-GGA.

M_tot (Bohr magnetons per cell): 8.405
Crystal system: cubic
Uncorrected formation energy (eV per atom): 1.35

a = 5.717 Å, b = 5.717 Å, c = 5.717 Å
α = 60.00°, β = 60.00°, γ = 60.00°
Site moments in Bohr magnetons follow the coordinates.
Sites, in units of the cell vectors:
Fe1 0.750 0.750 0.750  3.37
Cl1 0.375 0.375 0.875  0.42
Cl2 0.375 0.875 0.375  0.42
Cl3 0.875 0.375 0.375  0.42
Cl4 0.375 0.375 0.375  0.42
Ru1 0.000 0.000 0.000  2.74



[3]
Rb6PdAu: relaxed, PBE-GGA.

M_tot (Bohr magnetons per cell): 0.000
Crystal system: orthorhombic
Energy of formation from the pure elements (eV/atom): -0.031

a = 4.998 Å, b = 10.151 Å, c = 10.151 Å
α = 91.38°, β = 90.00°, γ = 90.00°
Sites, in units of the cell vectors:
Rb1 0.000 0.218 0.500
Rb2 0.500 0.346 0.084
Rb3 0.000 0.680 0.320
Rb4 0.500 0.916 0.654
Rb5 0.000 0.500 0.782
Rb6 0.500 0.965 0.035
Pd1 0.500 0.216 0.784
Au1 0.000 0.159 0.841



[4]
TlCuSn: relaxed, PBE-GGA.

M_tot (Bohr magnetons per cell): 0.000
Crystal system: monoclinic
Energy of formation from the pure elements (eV/atom): 0.092

a = 4.471 Å, b = 5.163 Å, c = 6.536 Å
α = 92.96°, β = 90.01°, γ = 90.00°
Sites, in units of the cell vectors:
Cu1 0.325 0.296 0.694
Cu2 0.825 0.554 0.704
Tl1 0.825 0.657 0.187
Tl2 0.325 0.193 0.212
Sn1 0.325 0.777 0.566
Sn2 0.825 0.074 0.833



[5]
BeCdPb3: relaxed, PBE-GGA.

M_tot (Bohr magnetons per cell): 0.000
Crystal system: cubic
Energy of formation from the pure elements (eV/atom): 0.353
Energy above the lowest structure with this stoichiometry (eV/f.u.): 0.00

a = 5.170 Å, b = 5.170 Å, c = 5.170 Å
α = 90.00°, β = 90.00°, γ = 90.00°
Sites, in units of the cell vectors:
Pb1 0.500 0.000 0.000
Pb2 0.000 0.000 0.500
Pb3 0.000 0.500 0.000
Be1 0.000 0.000 0.000
Cd1 0.500 0.500 0.500



[6]
ScCuBr2: relaxed, PBE-GGA.

M_tot (Bohr magnetons per cell): 0.000
Crystal system: monoclinic
Uncorrected formation energy (eV per atom): -0.64
Energy above the lowest structure with this stoichiometry (eV/f.u.): 0.40

a = 3.813 Å, b = 4.039 Å, c = 6.177 Å
α = 70.88°, β = 90.00°, γ = 90.00°
Sites, in units of the cell vectors:
Br1 0.000 0.968 0.947
Br2 0.500 0.241 0.404
Cu1 0.000 0.710 0.422
Sc1 0.500 0.581 0.727



[7]
CdHgSe2: relaxed, PBE-GGA.

M_tot (Bohr magnetons per cell): 0.000
Crystal system: tetragonal
Uncorrected formation energy (eV per atom): -0.04
Energy above the lowest structure with this stoichiometry (eV/f.u.): 1.50

a = 7.347 Å, b = 7.347 Å, c = 6.291 Å
α = 54.27°, β = 54.27°, γ = 90.00°
Sites, in units of the cell vectors:
Se1 0.802 0.302 0.000
Se2 0.698 0.802 0.000
Se3 0.198 0.698 0.000
Se4 0.302 0.198 0.000
Hg1 0.750 0.750 0.500
Hg2 0.250 0.250 0.500
Cd1 0.250 0.750 0.500
Cd2 0.750 0.250 0.500



[8]
TiCoOs2: relaxed, PBE-GGA.

M_tot (Bohr magnetons per cell): 0.001
Crystal system: tetragonal
Energy of formation from the pure elements (eV/atom): 0.453

a = 3.746 Å, b = 3.746 Å, c = 9.070 Å
α = 78.08°, β = 78.08°, γ = 90.00°
Sites, in units of the cell vectors:
Co1 0.000 0.000 0.000
Co2 0.750 0.250 0.500
Os1 0.375 0.345 0.750
Os2 0.095 0.625 0.250
Os3 0.655 0.125 0.250
Os4 0.875 0.905 0.750
Ti1 0.500 0.500 0.000
Ti2 0.250 0.750 0.500



Number 1 is which compound?
Sm5Zn4Ru



Number 7 is which compound?
CdHgSe2



Which formula does entry 8 have?
TiCoOs2